(1)
{
  "formula": "ZrMn2Tl",
  "functional": "PBE-GGA",
  "state": "optimized geometry",
  "lattice_angstrom": [[1.571, 0.907, 9.209], [-1.571, 0.907, 9.209], [0.000, -1.814, 9.209]],
  "species": ["Zr", "Mn", "Mn", "Tl"],
  "frac_coords": [[0.000, 0.000, 0.000], [0.253, 0.253, 0.253], [0.747, 0.747, 0.747], [0.500, 0.500, 0.500]],
  "polymorph_energy_mev_per_atom": 231,
  "total_magnetization_mub_per_fu": 6.250
}

(2)
{
  "formula": "ZrMnTl2",
  "functional": "PBE-GGA",
  "state": "optimized geometry",
  "lattice_angstrom": [[0.000, 3.533, 3.533], [3.533, 0.000, 3.533], [3.533, 3.533, 0.000]],
  "species": ["Zr", "Mn", "Tl", "Tl"],
  "frac_coords": [[0.000, 0.000, 0.000], [0.750, 0.750, 0.750], [0.250, 0.250, 0.250], [0.500, 0.500, 0.500]],
  "polymorph_energy_mev_per_atom": 288,
  "total_magnetization_mub_per_fu": 2.522
}

(3)
{
  "formula": "ZrMn2Tl",
  "functional": "PBE-GGA",
  "state": "optimized geometry",
  "lattice_angstrom": [[-3.726, 3.726, 2.900], [3.726, -3.726, 2.900], [3.726, 3.726, -2.900]],
  "species": ["Zr", "Zr", "Mn", "Mn", "Mn", "Mn", "Tl", "Tl"],
  "frac_coords": [[0.000, 0.000, 0.000], [0.750, 0.250, 0.500], [0.124, 0.625, 0.999], [0.375, 0.374, 0.499], [0.626, 0.125, 0.001], [0.875, 0.876, 0.501], [0.250, 0.750, 0.500], [0.500, 0.500, 0.000]],
  "polymorph_energy_mev_per_atom": 440,
  "total_magnetization_mub_per_fu": 5.814
}

(4)
{
  "formula": "ZrMnTl2",
  "functional": "PBE-GGA",
  "state": "optimized geometry",
  "lattice_angstrom": [[5.220, -1.675, 0.000], [5.220, 1.675, 0.000], [-1.954, 0.000, 5.024]],
  "species": ["Zr", "Mn", "Tl", "Tl"],
  "frac_coords": [[0.000, 0.000, 0.000], [0.500, 0.500, 0.500], [0.235, 0.235, 0.734], [0.765, 0.765, 0.266]],
  "polymorph_energy_mev_per_atom": 94,
  "total_magnetization_mub_per_fu": 2.645
}

(5)
{
  "formula": "Zr4MnTl",
  "functional": "PBE-GGA",
  "state": "optimized geometry",
  "lattice_angstrom": [[0.000, 4.081, 4.081], [4.081, 0.000, 4.081], [4.081, 4.081, 0.000]],
  "species": ["Zr", "Zr", "Zr", "Zr", "Mn", "Tl"],
  "frac_coords": [[0.124, 0.124, 0.124], [0.124, 0.124, 0.628], [0.124, 0.628, 0.124], [0.628, 0.124, 0.124], [0.750, 0.750, 0.750], [0.500, 0.500, 0.500]],
  "polymorph_energy_mev_per_atom": 279,
  "total_magnetization_mub_per_fu": 3.362
}

(6)
{
  "formula": "ZrMnTl2",
  "functional": "PBE-GGA",
  "state": "optimized geometry",
  "lattice_angstrom": [[4.473, 0.000, 0.000], [0.000, 4.473, 0.000], [0.000, 0.000, 4.300]],
  "species": ["Zr", "Mn", "Tl", "Tl"],
  "frac_coords": [[0.000, 0.000, 0.000], [0.500, 0.500, 0.000], [0.000, 0.500, 0.500], [0.500, 0.000, 0.500]],
  "polymorph_energy_mev_per_atom": 0,
  "total_magnetization_mub_per_fu": 3.714
}

(7)
{
  "formula": "ZrMnTl2",
  "functional": "PBE-GGA",
  "state": "optimized geometry",
  "lattice_angstrom": [[3.210, 0.000, 0.000], [0.000, 4.746, 0.000], [-0.578, 0.000, 5.837]],
  "species": ["Zr", "Mn", "Tl", "Tl"],
  "frac_coords": [[0.000, 0.000, 0.000], [0.500, 0.000, 0.500], [0.348, 0.500, 0.744], [0.652, 0.500, 0.256]],
  "polymorph_energy_mev_per_atom": 95,
  "total_magnetization_mub_per_fu": 3.094
}

(8)
{
  "formula": "ZrMn2Tl",
  "functional": "PBE-GGA",
  "state": "optimized geometry",
  "lattice_angstrom": [[0.000, 3.281, 3.281], [3.281, 0.000, 3.281], [3.281, 3.281, 0.000]],
  "species": ["Zr", "Mn", "Mn", "Tl"],
  "frac_coords": [[0.000, 0.000, 0.000], [0.250, 0.250, 0.250], [0.750, 0.750, 0.750], [0.500, 0.500, 0.500]],
  "polymorph_energy_mev_per_atom": 0,
  "total_magnetization_mub_per_fu": 5.408
}

(9)
{
  "formula": "ZrMnTl2",
  "functional": "PBE-GGA",
  "state": "optimized geometry",
  "lattice_angstrom": [[0.000, 3.404, 3.404], [3.404, 0.000, 3.404], [3.404, 3.404, 0.000]],
  "species": ["Zr", "Mn", "Tl", "Tl"],
  "frac_coords": [[0.000, 0.000, 0.000], [0.500, 0.500, 0.500], [0.250, 0.250, 0.250], [0.750, 0.750, 0.750]],
  "polymorph_energy_mev_per_atom": 370,
  "total_magnetization_mub_per_fu": 0.000
}

(10)
{
  "formula": "ZrMn2Tl",
  "functional": "PBE-GGA",
  "state": "optimized geometry",
  "lattice_angstrom": [[4.708, -1.581, 0.000], [4.708, 1.581, 0.000], [-1.130, 0.000, 5.069]],
  "species": ["Zr", "Mn", "Mn", "Tl"],
  "frac_coords": [[0.000, 0.000, 0.000], [0.250, 0.250, 0.765], [0.750, 0.750, 0.235], [0.500, 0.500, 0.500]],
  "polymorph_energy_mev_per_atom": 130,
  "total_magnetization_mub_per_fu": 6.213
}

(11)
{
  "formula": "ZrMn4Tl",
  "functional": "PBE-GGA",
  "state": "optimized geometry",
  "lattice_angstrom": [[0.000, 3.506, 3.506], [3.506, 0.000, 3.506], [3.506, 3.506, 0.000]],
  "species": ["Zr", "Mn", "Mn", "Mn", "Mn", "Tl"],
  "frac_coords": [[0.000, 0.000, 0.000], [0.129, 0.624, 0.624], [0.624, 0.129, 0.624], [0.624, 0.624, 0.129], [0.624, 0.624, 0.624], [0.250, 0.250, 0.250]],
  "total_magnetization_mub_per_fu": 3.051
}

(12)
{
  "formula": "Zr2MnTl",
  "functional": "PBE-GGA",
  "state": "optimized geometry",
  "lattice_angstrom": [[-3.798, 3.798, 2.866], [3.798, -3.798, 2.866], [3.798, 3.798, -2.866]],
  "species": ["Zr", "Zr", "Zr", "Zr", "Mn", "Mn", "Tl", "Tl"],
  "frac_coords": [[0.070, 0.625, 0.945], [0.375, 0.320, 0.445], [0.680, 0.125, 0.055], [0.875, 0.930, 0.555], [0.000, 0.000, 0.000], [0.750, 0.250, 0.500], [0.250, 0.750, 0.500], [0.500, 0.500, 0.000]],
  "total_magnetization_mub_per_fu": 0.006
}

(13)
{
  "formula": "Zr2MnTl",
  "functional": "PBE-GGA",
  "state": "optimized geometry",
  "lattice_angstrom": [[5.661, -1.649, 0.000], [5.661, 1.649, 0.000], [-2.142, 0.000, 4.440]],
  "species": ["Zr", "Zr", "Mn", "Tl"],
  "frac_coords": [[0.000, 0.000, 0.000], [0.219, 0.219, 0.720], [0.502, 0.502, 0.501], [0.778, 0.778, 0.279]],
  "total_magnetization_mub_per_fu": 1.641
}

(14)
{
  "formula": "ZrMnTl",
  "functional": "PBE-GGA",
  "state": "optimized geometry",
  "lattice_angstrom": [[-1.687, 1.687, 4.951], [1.687, -1.687, 4.951], [1.687, 1.687, -4.951]],
  "species": ["Zr", "Mn", "Tl"],
  "frac_coords": [[0.000, 0.000, 0.000], [0.627, 0.627, 0.000], [0.298, 0.298, 0.000]],
  "total_magnetization_mub_per_fu": 0.005
}

(15)
{
  "formula": "ZrMn2Tl",
  "functional": "PBE-GGA",
  "state": "optimized geometry",
  "lattice_angstrom": [[1.859, 1.074, 6.181], [-1.859, 1.074, 6.181], [0.000, -2.147, 6.181]],
  "species": ["Zr", "Mn", "Mn", "Tl"],
  "frac_coords": [[0.000, 0.000, 0.000], [0.439, 0.439, 0.439], [0.760, 0.760, 0.760], [0.207, 0.207, 0.207]],
  "polymorph_energy_mev_per_atom": 30,
  "total_magnetization_mub_per_fu": 0.001
}

(16)
{
  "formula": "Zr6MnTl3",
  "functional": "PBE-GGA",
  "state": "optimized geometry",
  "lattice_angstrom": [[5.282, -3.182, 0.000], [5.282, 3.182, 0.000], [-1.960, 0.000, 7.045]],
  "species": ["Zr", "Zr", "Zr", "Zr", "Zr", "Zr", "Mn", "Tl", "Tl", "Tl"],
  "frac_coords": [[0.132, 0.641, 0.645], [0.340, 0.340, 0.159], [0.359, 0.868, 0.355], [0.641, 0.132, 0.645], [0.660, 0.660, 0.841], [0.868, 0.359, 0.355], [0.500, 0.500, 0.500], [0.000, 0.000, 0.000], [0.173, 0.173, 0.738], [0.827, 0.827, 0.262]],
  "total_magnetization_mub_per_fu": 0.000
}

(17)
{
  "formula": "ZrMnTl2",
  "functional": "PBE-GGA",
  "state": "optimized geometry",
  "lattice_angstrom": [[1.640, 0.947, 9.588], [-1.640, 0.947, 9.588], [0.000, -1.893, 9.588]],
  "species": ["Zr", "Mn", "Tl", "Tl"],
  "frac_coords": [[0.000, 0.000, 0.000], [0.500, 0.500, 0.500], [0.245, 0.245, 0.245], [0.755, 0.755, 0.755]],
  "polymorph_energy_mev_per_atom": 99,
  "total_magnetization_mub_per_fu": 4.000
}

(18)
{
  "formula": "TmMn2",
  "functional": "PBE-GGA",
  "state": "optimized geometry",
  "lattice_angstrom": [[5.305, 0.000, 0.000], [-2.652, 4.594, 0.000], [0.000, 0.000, 7.981]],
  "species": ["Tm", "Tm", "Tm", "Tm", "Mn", "Mn", "Mn", "Mn", "Mn", "Mn", "Mn", "Mn"],
  "frac_coords": [[0.333, 0.667, 0.060], [0.333, 0.667, 0.440], [0.667, 0.333, 0.560], [0.667, 0.333, 0.940], [0.000, 0.000, 0.000], [0.000, 0.000, 0.500], [0.168, 0.336, 0.750], [0.168, 0.832, 0.750], [0.336, 0.168, 0.250], [0.664, 0.832, 0.750], [0.832, 0.168, 0.250], [0.832, 0.664, 0.250]],
  "total_magnetization_mub_per_fu": 1.746
}

(19)
{
  "formula": "TmMn12",
  "functional": "PBE-GGA",
  "state": "optimized geometry",
  "lattice_angstrom": [[-4.120, 4.120, 2.342], [4.120, -4.120, 2.342], [4.120, 4.120, -2.342]],
  "species": ["Tm", "Mn", "Mn", "Mn", "Mn", "Mn", "Mn", "Mn", "Mn", "Mn", "Mn", "Mn", "Mn"],
  "frac_coords": [[0.000, 0.000, 0.000], [0.000, 0.000, 0.500], [0.000, 0.365, 0.365], [0.000, 0.500, 0.000], [0.000, 0.635, 0.635], [0.272, 0.500, 0.772], [0.365, 0.000, 0.365], [0.500, 0.000, 0.000], [0.500, 0.272, 0.772], [0.500, 0.500, 0.500], [0.500, 0.728, 0.228], [0.635, 0.000, 0.635], [0.728, 0.500, 0.228]],
  "total_magnetization_mub_per_fu": 2.378
}

(20)
{
  "formula": "TmMn3",
  "functional": "PBE-GGA",
  "state": "optimized geometry",
  "lattice_angstrom": [[4.292, -2.611, 0.000], [4.292, 2.611, 0.000], [-2.610, 0.000, 8.178]],
  "species": ["Tm", "Tm", "Tm", "Mn", "Mn", "Mn", "Mn", "Mn", "Mn", "Mn", "Mn", "Mn"],
  "frac_coords": [[0.000, 0.000, 0.000], [0.142, 0.142, 0.427], [0.858, 0.858, 0.573], [0.076, 0.576, 0.238], [0.341, 0.341, 0.002], [0.418, 0.418, 0.748], [0.424, 0.924, 0.762], [0.500, 0.500, 0.500], [0.576, 0.076, 0.238], [0.582, 0.582, 0.252], [0.659, 0.659, 0.998], [0.924, 0.424, 0.762]],
  "total_magnetization_mub_per_fu": 0.578
}

Quick rundown of ρ, same order as above: 8.548, 10.447, 8.363, 10.487, 7.623, 10.711, 10.361, 9.528, 11.682, 8.919, 9.931, 8.871, 8.853, 10.332, 9.095, 8.523, 10.320, 9.522, 8.648, 9.070 Mg/m³
Quick rundown of calculated formation energy, same order as above: 41.5, 45.1, 61.7, 26.4, 42.3, 17.3, 26.5, 19.2, 53.1, 31.8, 14.1, 38.6, 10.2, 22.7, 22.1, 18.2, 26.9, 2.0, -0.7, 2.5 kJ per mole of atoms